[1]
Below is crystalline CaICl at its relaxed geometry, with properties calculated at the PBE level.

Computed properties:
SG: P-1 (2)
Total magnetic moment (μB per formula unit): 0.0

a = 4.3480 Å, b = 7.4806 Å, c = 9.1723 Å
α = 55.89°, β = 76.80°, γ = 90.02°
Element x y z (fractional)
Cl (0.3366, 0.0378, 0.3193)
Cl (0.6634, 0.9622, 0.6807)
Ca (0.7508, 0.7650, 0.4969)
Ca (0.2492, 0.2350, 0.5031)
I (0.1276, 0.4085, 0.7522)
I (0.8724, 0.5915, 0.2478)


[2]
Below is crystalline NaAg2WS4 at its relaxed geometry, with properties calculated at the PBE level.

Computed properties:
SG: Fmm2 (42)
Total magnetic moment (μB per formula unit): 0.0

a = 6.1198 Å, b = 6.1198 Å, c = 6.8249 Å
α = 116.59°, β = 116.59°, γ = 90.10°
Element x y z (fractional)
S (0.1646, 0.1646, 0.7534)
S (0.4113, 0.8346, 0.2459)
S (0.5888, 0.5888, 0.7534)
S (0.8346, 0.4113, 0.2459)
W (0.4998, 0.4998, 0.9996)
Ag (0.7501, 0.2501, 0.5003)
Ag (0.2501, 0.7501, 0.5003)
Na (0.0009, 0.0009, 0.0018)


[3]
Below is crystalline PrHo6Sc12 at its relaxed geometry, with properties calculated at the PBE level.

Computed properties:
Energy of formation from the pure elements (meV/atom): 213
SG: R-3 (148)
Total magnetic moment (μB per formula unit): 0.0

a = 8.0782 Å, b = 8.0782 Å, c = 8.0782 Å
α = 91.57°, β = 91.57°, γ = 91.57°
Element x y z (fractional)
Ho (0.8456, 0.2456, 0.7209)
Ho (0.2791, 0.1544, 0.7544)
Ho (0.7209, 0.8456, 0.2456)
Ho (0.7544, 0.2791, 0.1544)
Ho (0.1544, 0.7544, 0.2791)
Ho (0.2456, 0.7209, 0.8456)
Sc (0.3878, 0.0840, 0.1374)
Sc (0.5220, 0.2078, 0.4695)
Sc (0.9160, 0.8626, 0.6122)
Sc (0.4780, 0.7922, 0.5305)
Sc (0.8626, 0.6122, 0.9160)
Sc (0.7922, 0.5305, 0.4780)
Sc (0.0840, 0.1374, 0.3878)
Sc (0.5305, 0.4780, 0.7922)
Sc (0.1374, 0.3878, 0.0840)
Sc (0.6122, 0.9160, 0.8626)
Sc (0.2078, 0.4695, 0.5220)
Sc (0.4695, 0.5220, 0.2078)
Pr (0.0000, 0.0000, 0.0000)


[4]
Below is crystalline RbUSnCl6 at its relaxed geometry, with properties calculated at the PBE level.

Computed properties:
SG: Imma (74)
Total magnetic moment (μB per formula unit): 2.2

a = 10.8780 Å, b = 8.0269 Å, c = 9.9701 Å
α = 113.74°, β = 123.06°, γ = 90.00°
Site moments in Bohr magnetons follow the coordinates.
Element x y z (fractional)
Cl (0.7405, 0.9905, 0.4811)  -0.02
Cl (0.8815, 0.6422, 0.2399)  -0.02
Cl (0.6342, 0.3842, 0.2683)  -0.01
Cl (0.3584, 0.6422, 0.2399)  -0.02
Cl (0.8815, 0.0977, 0.2399)  -0.02
Cl (0.6416, 0.9023, 0.7601)  -0.02
Cl (0.6416, 0.3578, 0.7601)  -0.02
Cl (0.3584, 0.0977, 0.2399)  -0.02
Cl (0.3658, 0.6158, 0.7317)  -0.01
Cl (0.1185, 0.9023, 0.7601)  -0.02
Cl (0.2595, 0.0095, 0.5189)  -0.02
Cl (0.1185, 0.3578, 0.7601)  -0.02
Sn (0.5000, 0.5000, 0.0000)  -0.06
Sn (0.5000, 0.0000, 0.0000)  -0.06
U (0.0000, 0.0000, 0.5000)  2.39
U (0.5000, 0.0000, 0.5000)  2.39
Rb (0.8563, 0.6063, 0.7126)  0.00
Rb (0.1437, 0.3937, 0.2874)  0.00


The following total energy values (in eV for the cell shown) correspond, in order, to the records above: -22.818; -39.820; -104.168; -80.748.